{
  "formula": "HoIn2Hg",
  "functional": "PBE",
  "state": "optimized geometry",
  "final_energy_ev_per_cell": -11.9,
  "delta_e_f_ev_per_atom": -0.38,
  "crystal_system": "tetragonal",
  "cell": [[-1.8823, -1.1400, -4.0189], [3.4566, -2.9302, -0.7878], [-2.3741, -3.3555, 2.0637]],
  "species": ["In", "In", "Hg", "Ho"],
  "fractional_positions": [[0.0000, 0.0000, 0.5000], [0.0000, 0.5000, 0.0000], [0.5000, 0.5000, 0.5000], [0.5000, 0.0000, 0.0000]]
}